# 1
Below is a relaxed Sm12Tl5Pt2 crystal, with properties calculated at the PBE level.

Energy of formation from the pure elements, eV/f.u.: -5.1
Calculated volume, Å³/atom: 33.6
Magnetic moment, μB per formula unit: 1.04
Energy, eV/atom: -4.51

Cell: 7.811 9.458 9.728 Å, 101.47 90.00 114.39°
Fractional positions:
Sm  0.976  0.951  0.167
Sm  0.087  0.671  0.899
Sm  0.584  0.671  0.899
Sm  0.099  0.704  0.427
Sm  0.605  0.704  0.427
Sm  0.492  0.984  0.736
Sm  0.508  0.016  0.264
Sm  0.901  0.296  0.573
Sm  0.395  0.296  0.573
Sm  0.913  0.329  0.101
Sm  0.416  0.329  0.101
Sm  0.024  0.049  0.833
Tl  0.298  0.595  0.636
Tl  0.316  0.632  0.159
Tl  0.000  0.000  0.500
Tl  0.684  0.368  0.841
Tl  0.702  0.405  0.364
Pt  0.697  0.000  0.000
Pt  0.303  0.000  0.000


# 2
Below is a relaxed Sm6TlPt crystal, with properties calculated at the PBE level.

Energy of formation from the pure elements, eV/f.u.: -1.3
Calculated volume, Å³/atom: 33.4
Magnetic moment, μB per formula unit: 0.00
Energy, eV/atom: -4.76

Cell: 6.895 7.259 6.905 Å, 58.29 77.28 65.24°
Fractional positions:
Sm  0.741  0.487  0.602
Sm  0.741  0.089  0.398
Sm  0.259  0.911  0.602
Sm  0.259  0.513  0.398
Sm  0.724  0.733  0.000
Sm  0.276  0.267  0.000
Tl  0.000  0.000  0.000
Pt  0.500  0.500  0.000


# 3
Below is a relaxed SmTlPt2 crystal, with properties calculated at the PBE level.

Energy of formation from the pure elements, eV/f.u.: -2.5
Calculated volume, Å³/atom: 21.4
Magnetic moment, μB per formula unit: 0.00
Energy, eV/atom: -5.41

Cell: 3.729 3.729 6.161 Å, 90.00 90.00 90.00°
Fractional positions:
Tl  0.500  0.500  0.500
Sm  0.500  0.500  0.000
Pt  0.000  0.000  0.751
Pt  0.000  0.000  0.249


# 4
Below is a relaxed Sm5TlPt crystal, with properties calculated at the PBE level.

Energy of formation from the pure elements, eV/f.u.: -2.3
Calculated volume, Å³/atom: 30.0
Magnetic moment, μB per formula unit: 0.00
Energy, eV/atom: -4.90

Cell: 6.097 6.097 11.845 Å, 78.85 78.85 80.73°
Fractional positions:
Sm  0.930  0.562  0.129
Sm  0.223  0.541  0.555
Sm  0.562  0.930  0.629
Sm  0.012  0.988  0.250
Sm  0.459  0.777  0.945
Sm  0.541  0.223  0.055
Sm  0.988  0.012  0.750
Sm  0.438  0.070  0.371
Sm  0.777  0.459  0.445
Sm  0.070  0.438  0.871
Tl  0.411  0.589  0.250
Tl  0.589  0.411  0.750
Pt  0.000  0.000  0.000
Pt  0.000  0.000  0.500


# 5
Below is a relaxed Sm2TlPt crystal, with properties calculated at the PBE level.

Energy of formation from the pure elements, eV/f.u.: -2.5
Calculated volume, Å³/atom: 25.7
Magnetic moment, μB per formula unit: 0.00
Energy, eV/atom: -5.09

Cell: 5.257 5.257 5.257 Å, 60.00 60.00 60.00°
Fractional positions:
Tl  0.000  0.000  0.000
Sm  0.250  0.250  0.250
Sm  0.750  0.750  0.750
Pt  0.500  0.500  0.500


# 6
Below is a relaxed Sm12TlPt6 crystal, with properties calculated at the PBE level.

Energy of formation from the pure elements, eV/f.u.: -14.8
Calculated volume, Å³/atom: 28.1
Magnetic moment, μB per formula unit: 0.00
Energy, eV/atom: -5.79

Cell: 8.849 8.849 8.849 Å, 109.47 109.47 109.47°
Fractional positions:
Sm  0.302  0.121  0.819
Sm  0.302  0.482  0.181
Sm  0.698  0.518  0.819
Sm  0.698  0.879  0.181
Sm  0.121  0.819  0.302
Sm  0.482  0.181  0.302
Sm  0.518  0.819  0.698
Sm  0.879  0.181  0.698
Sm  0.819  0.302  0.121
Sm  0.181  0.302  0.482
Sm  0.819  0.698  0.518
Sm  0.181  0.698  0.879
Tl  0.000  0.000  0.000
Pt  0.364  0.500  0.864
Pt  0.636  0.500  0.136
Pt  0.500  0.864  0.364
Pt  0.500  0.136  0.636
Pt  0.864  0.364  0.500
Pt  0.136  0.636  0.500


# 7
Below is a relaxed Sm2TlPt crystal, with properties calculated at the PBE level.

Energy of formation from the pure elements, eV/f.u.: -2.7
Calculated volume, Å³/atom: 29.4
Magnetic moment, μB per formula unit: 0.00
Energy, eV/atom: -5.14

Cell: 4.051 4.051 8.591 Å, 76.36 76.36 60.00°
Fractional positions:
Tl  0.500  0.500  0.500
Sm  0.266  0.266  0.202
Sm  0.734  0.734  0.798
Pt  0.000  0.000  0.000


# 8
Below is a relaxed Sm2TlPt crystal, with properties calculated at the PBE level.

Energy of formation from the pure elements, eV/f.u.: -3.0
Calculated volume, Å³/atom: 25.8
Magnetic moment, μB per formula unit: 0.00
Energy, eV/atom: -5.20

Cell: 3.628 3.628 7.845 Å, 90.00 90.00 90.00°
Fractional positions:
Tl  0.500  0.500  0.500
Sm  0.000  0.000  0.781
Sm  0.000  0.000  0.219
Pt  0.500  0.500  0.000


calculated volume of number 1 (Sm12Tl5Pt2)? 33.6 Å³/atom


What did the seventh record say?
Below is a relaxed Sm2TlPt crystal, with properties calculated at the PBE level.

Energy of formation from the pure elements, eV/f.u.: -2.7
Calculated volume, Å³/atom: 29.4
Magnetic moment, μB per formula unit: 0.00
Energy, eV/atom: -5.14

Cell: 4.051 4.051 8.591 Å, 76.36 76.36 60.00°
Fractional positions:
Tl  0.500  0.500  0.500
Sm  0.266  0.266  0.202
Sm  0.734  0.734  0.798
Pt  0.000  0.000  0.000


Look up the calculated volume of the sixth one. 28.1 Å³/atom